A plane-wave DFT calculation with meta-GGA SCAN was carried out for a PBEsol-optimized structure of NiMo2Ru.

```
NiMo2Ru
1.0
3.770 0.000 0.000
0.000 3.770 0.000
0.000 0.000 3.797
Ni Mo Ru
1 2 1
Direct
0.000 0.000 0.000 Ni
0.000 0.500 0.500 Mo
0.500 0.000 0.500 Mo
0.500 0.500 0.000 Ru
```

energy of formation: -0.0080 eV per atom
total magnetic moment: 0.00 μB/f.u.
DFT total energy: -30.201 eV/atom

---

A plane-wave DFT calculation with meta-GGA SCAN was carried out for a PBEsol-optimized structure of Co2Sn2Au.

```
Co2Sn2Au
1.0
-2.033 2.033 5.190
2.033 -2.033 5.190
2.033 2.033 -5.190
Co Sn Au
2 2 1
Direct
0.106 0.106 0.000 Co
0.894 0.894 0.000 Co
0.250 0.750 0.500 Sn
0.750 0.250 0.500 Sn
0.500 0.500 0.000 Au
```

energy of formation: 0.5450 eV per atom
total magnetic moment: 0.00 μB/f.u.
DFT total energy: -34.577 eV/atom

---

A plane-wave DFT calculation with meta-GGA SCAN was carried out for a PBEsol-optimized structure of Y2Ru2O7.

```
Y2Ru2O7
1.0
0.000 5.033 5.033
5.033 0.000 5.033
5.033 5.033 0.000
Y Ru O
4 4 14
Direct
0.000 0.000 0.000 Y
0.000 0.000 0.500 Y
0.000 0.500 0.000 Y
0.500 0.000 0.000 Y
0.000 0.500 0.500 Ru
0.500 0.000 0.500 Ru
0.500 0.500 0.000 Ru
0.500 0.500 0.500 Ru
0.125 0.125 0.125 O
0.166 0.166 0.584 O
0.166 0.584 0.166 O
0.166 0.584 0.584 O
0.416 0.416 0.834 O
0.416 0.834 0.416 O
0.416 0.834 0.834 O
0.584 0.166 0.166 O
0.584 0.166 0.584 O
0.584 0.584 0.166 O
0.834 0.416 0.416 O
0.834 0.416 0.834 O
0.834 0.834 0.416 O
0.875 0.875 0.875 O
```

total magnetic moment: 4.00 μB/f.u.
DFT total energy: -17.844 eV/atom
uncorrected formation energy: -2.48 eV per atom

---

A plane-wave DFT calculation with meta-GGA SCAN was carried out for a PBEsol-optimized structure of ZrCdSi.

```
ZrCdSi
1.0
-1.568 1.568 5.686
1.568 -1.568 5.686
1.568 1.568 -5.686
Zr Cd Si
1 1 1
Direct
0.000 0.000 0.000 Zr
0.691 0.691 0.000 Cd
0.348 0.348 0.000 Si
```

total magnetic moment: 0.00 μB/f.u.
DFT total energy: -23.756 eV/atom
uncorrected formation energy: -0.05 eV per atom

---

A plane-wave DFT calculation with meta-GGA SCAN was carried out for a PBEsol-optimized structure of KCaLaW2.

```
KCaLaW2
1.0
4.995 0.000 0.000
0.000 4.995 0.000
0.000 0.000 5.750
K Ca La W
1 1 1 2
Direct
0.000 0.000 0.000 K
0.500 0.500 0.000 Ca
0.500 0.500 0.500 La
0.000 0.500 0.500 W
0.500 0.000 0.500 W
```

energy of formation: 2.1176 eV per atom
total magnetic moment: 0.00 μB/f.u.
DFT total energy: -37.977 eV/atom

---

A plane-wave DFT calculation with meta-GGA SCAN was carried out for a PBEsol-optimized structure of Na5Zr2F13.

```
Na5Zr2F13
1.0
5.798 -2.744 0.000
5.798 2.744 0.000
-1.074 0.000 8.362
Na Zr F
5 2 13
Direct
0.000 0.000 0.000 Na
0.164 0.164 0.428 Na
0.278 0.278 0.845 Na
0.722 0.722 0.155 Na
0.836 0.836 0.572 Na
0.427 0.427 0.257 Zr
0.573 0.573 0.743 Zr
0.080 0.556 0.357 F
0.140 0.592 0.070 F
0.200 0.677 0.750 F
0.323 0.800 0.250 F
0.408 0.860 0.930 F
0.444 0.920 0.643 F
0.500 0.500 0.500 F
0.556 0.080 0.357 F
0.592 0.140 0.070 F
0.677 0.200 0.750 F
0.800 0.323 0.250 F
0.860 0.408 0.930 F
0.920 0.444 0.643 F
```

total magnetic moment: 0.00 μB/f.u.
DFT total energy: -9.972 eV/atom
uncorrected formation energy: -3.55 eV per atom